1.
Material: BaYAuS3
Method: DFT, PBE
State: optimized geometry

Summary:
- Density: 5.76 g/cm³
- Final energy: -66.41 eV/cell
- Spin magnetization: 0.00 Bohr magnetons per cell
- SG: C2/m

abc: 9.1252 9.1252 8.4637
angles: 100.90 100.90 25.66
Positions (direct):
Au: 0.4618 0.4618 0.2824
Au: 0.5382 0.5382 0.7176
Ba: 0.1328 0.1328 0.0786
Ba: 0.8672 0.8672 0.9214
S: 0.5000 0.5000 0.0000
S: 0.3184 0.3184 0.1863
S: 0.6769 0.6769 0.3720
S: 0.0000 0.0000 0.5000
S: 0.3231 0.3231 0.6280
S: 0.6816 0.6816 0.8137
Y: 0.8368 0.8368 0.4153
Y: 0.1632 0.1632 0.5847


2.
Material: KNbAgTe3
Method: DFT, PBE
State: optimized geometry

Summary:
- Density: 5.82 g/cm³
- Final energy: -51.79 eV/cell
- Spin magnetization: 1.78 Bohr magnetons per cell
- SG: Cmcm

abc: 8.3164 8.3164 10.9840
angles: 90.00 90.00 27.90
Each line ends with the local moment (μB).
Positions (direct):
Ag: 0.4549 0.4549 0.2500  0.00
Ag: 0.5451 0.5451 0.7500  0.00
K: 0.7612 0.7612 0.2500  0.00
K: 0.2388 0.2388 0.7500  0.00
Nb: 0.0000 0.0000 0.0000  0.83
Nb: 0.0000 0.0000 0.5000  0.82
Te: 0.3745 0.3745 0.0324  -0.02
Te: 0.0740 0.0740 0.2500  -0.04
Te: 0.3745 0.3745 0.4676  -0.02
Te: 0.6255 0.6255 0.5324  -0.02
Te: 0.9260 0.9260 0.7500  -0.04
Te: 0.6255 0.6255 0.9676  -0.02


3.
Material: Sc2TlCu2
Method: DFT, PBE
State: optimized geometry

Summary:
- Density: 6.94 g/cm³
- Final energy: -22.40 eV/cell
- Spin magnetization: 0.00 Bohr magnetons per cell
- SG: I4/mmm

abc: 4.4150 4.4150 6.0445
angles: 111.42 111.42 90.00
Positions (direct):
Cu: 0.6095 0.6095 0.2191
Cu: 0.3905 0.3905 0.7809
Sc: 0.7500 0.2500 0.5000
Sc: 0.2500 0.7500 0.5000
Tl: 0.0000 0.0000 0.0000


4.
Material: Tb2GdIn3Ni2Ag
Method: DFT, PBE
State: optimized geometry

Summary:
- Density: 8.90 g/cm³
- Final energy: -40.26 eV/cell
- Spin magnetization: 0.01 Bohr magnetons per cell
- SG: Amm2

abc: 3.9357 7.5603 7.5603
angles: 119.99 90.00 90.00
Positions (direct):
Ag: 0.0000 0.0003 0.0003
Gd: 0.0000 0.5845 0.5845
In: 0.5000 0.7313 0.0005
In: 0.5000 0.2682 0.2682
In: 0.5000 0.0005 0.7313
Ni: 0.5000 0.6669 0.3330
Ni: 0.5000 0.3330 0.6669
Tb: 0.0000 0.9999 0.4153
Tb: 0.0000 0.4153 0.9999


5.
Material: FeTcNiAs
Method: DFT, PBE
State: optimized geometry

Summary:
- ΔE to the lowest computed polymorph: 33 meV/atom
- Density: 9.22 g/cm³
- Spin magnetization: 3.07 Bohr magnetons per cell
- SG: F-43m

abc: 4.1827 4.1827 4.1827
angles: 60.00 60.00 60.00
Positions (direct):
As: 0.0000 0.0000 0.0000
Fe: 0.5000 0.5000 0.5000
Ni: 0.7500 0.7500 0.7500
Tc: 0.2500 0.2500 0.2500


6.
Material: Tm2FeSn6
Method: DFT, PBE
State: optimized geometry

Summary:
- Density: 8.37 g/cm³
- Final energy: -44.14 eV/cell
- Spin magnetization: 1.74 Bohr magnetons per cell
- SG: Cmmm

abc: 11.5587 11.5587 4.4321
angles: 90.00 90.00 158.26
Each line ends with the local moment (μB).
Positions (direct):
Fe: 0.0000 0.0000 0.0000  1.82
Sn: 0.7957 0.2043 0.0000  0.00
Sn: 0.5712 0.4288 0.0000  -0.03
Sn: 0.4288 0.5712 0.0000  -0.03
Sn: 0.2043 0.7957 0.0000  0.00
Sn: 0.9296 0.0704 0.5000  -0.03
Sn: 0.0704 0.9296 0.5000  -0.03
Tm: 0.6789 0.3211 0.5000  0.00
Tm: 0.3211 0.6789 0.5000  0.00